[1]
Compound: CrCuP2S6
Source: Alexandria via LeMat-Bulk
Functional: GGA-PBE
Structure: optimized geometry

Properties
Energy relative to the elements, uncorrected   -3.6 eV/f.u.
Crystal system   monoclinic
E   -5.29 eV/atom

Cell lengths 10.3631, 5.9766, 14.8420 Å; angles 75.32, 90.00, 90.00 degrees
Closest atoms and distances in Å follow each position.
Sites, in units of the cell vectors:
Cr  0.9189  0.2512  0.7518  6 S 2.44-2.47
Cr  0.4189  0.7488  0.7482  6 S 2.44-2.47
Cr  0.5811  0.2512  0.2518  6 S 2.44-2.47
Cr  0.0811  0.7488  0.2482  6 S 2.44-2.47
Cu  0.7514  0.8120  0.6552  3 S 2.22
Cu  0.2514  0.1880  0.8448  3 S 2.22
Cu  0.2486  0.1880  0.3448  3 S 2.22
Cu  0.7486  0.8120  0.1552  3 S 2.22
P  0.0830  0.6929  0.8284  3 S 2.02-2.09, 1 P 2.18
P  0.5888  0.2122  0.8237  3 S 2.02-2.09, 1 P 2.18
P  0.4112  0.7878  0.1763  3 S 2.02-2.09, 1 P 2.18
P  0.4170  0.6929  0.3284  3 S 2.02-2.09, 1 P 2.18
P  0.9170  0.3071  0.1716  3 S 2.02-2.09, 1 P 2.18
P  0.9112  0.2122  0.3237  3 S 2.02-2.09, 1 P 2.18
P  0.0888  0.7878  0.6763  3 S 2.02-2.09, 1 P 2.18
P  0.5830  0.3071  0.6716  3 S 2.02-2.09, 1 P 2.18
S  0.5717  0.5173  0.8583  1 P 2.02
S  0.7562  0.0377  0.8590  1 P 2.02
S  0.0671  0.9851  0.3615  1 P 2.09, 1 Cu 2.22
S  0.9283  0.5173  0.3583  1 P 2.02
S  0.0729  0.5136  0.1355  1 P 2.02
S  0.2438  0.9623  0.1410  1 P 2.02
S  0.7438  0.0377  0.3590  1 P 2.02
S  0.4329  0.9851  0.8615  1 P 2.09, 1 Cu 2.22
S  0.5633  0.9967  0.6328  1 P 2.09, 1 Cu 2.22
S  0.0633  0.0033  0.8672  1 P 2.09, 1 Cu 2.22
S  0.4367  0.0033  0.3672  1 P 2.09, 1 Cu 2.22
S  0.9329  0.0149  0.6385  1 P 2.09, 1 Cu 2.22
S  0.2361  0.5428  0.3658  1 P 2.09, 1 Cu 2.22
S  0.5729  0.4864  0.3645  1 P 2.02
S  0.2639  0.5428  0.8658  1 P 2.09, 1 Cu 2.22
S  0.4271  0.5136  0.6355  1 P 2.02
S  0.9271  0.4864  0.8645  1 P 2.02
S  0.2562  0.9623  0.6410  1 P 2.02
S  0.7361  0.4572  0.1342  1 P 2.09, 1 Cu 2.22
S  0.4283  0.4827  0.1417  1 P 2.02
S  0.0717  0.4827  0.6417  1 P 2.02
S  0.5671  0.0149  0.1385  1 P 2.09, 1 Cu 2.22
S  0.9367  0.9967  0.1328  1 P 2.09, 1 Cu 2.22
S  0.7639  0.4572  0.6342  1 P 2.09, 1 Cu 2.22

[2]
Compound: CrCuP2Se6
Source: Alexandria via LeMat-Bulk
Functional: GGA-PBE
Structure: optimized geometry

Properties
Energy relative to the elements, uncorrected   -2.2 eV/f.u.
Crystal system   monoclinic
E   -4.77 eV/atom

Cell lengths 6.2656, 6.2656, 7.5615 Å; angles 82.31, 82.31, 119.98 degrees
Closest atoms and distances in Å follow each position.
Sites, in units of the cell vectors:
Cr  0.3325  0.6675  0.0000  6 Se 2.56
Cu  0.6713  0.3287  0.0000  6 Se 2.65-2.72
P  0.0481  0.0490  0.8481  1 P 2.21, 3 Se 2.23
P  0.9510  0.9519  0.1519  1 P 2.21, 3 Se 2.23
Se  0.0885  0.4269  0.7754  1 P 2.23
Se  0.4089  0.0561  0.7750  1 P 2.23
Se  0.9439  0.5911  0.2250  1 P 2.23
Se  0.5731  0.9115  0.2246  1 P 2.23
Se  0.7174  0.7347  0.7763  1 P 2.23
Se  0.2653  0.2826  0.2237  1 P 2.23

[3]
Compound: CrCuSnP2
Source: Alexandria via LeMat-Bulk
Functional: GGA-PBE
Structure: optimized geometry

Properties
Energy of formation   463 meV/atom
Crystal system   tetragonal
E   -5.25 eV/atom

Cell lengths 4.2848, 5.3515, 4.2848 Å; angles 90.00, 90.00, 90.00 degrees
Closest atoms and distances in Å follow each position.
Sites, in units of the cell vectors:
Cr  0.0000  0.0000  0.0000  4 P 2.14
Sn  0.0000  0.5000  0.0000  2 Cr 2.68
Cu  0.5000  0.5000  0.5000  4 Sn 3.03
P  0.0000  0.0000  0.5000  2 Cr 2.14
P  0.5000  0.0000  0.0000  2 Cr 2.14

[4]
Compound: TaCrCu2P
Source: Alexandria via LeMat-Bulk
Functional: GGA-PBE
Structure: optimized geometry

Properties
Energy of formation   1736 meV/atom
Crystal system   tetragonal
E   -5.28 eV/atom

Cell lengths 4.7719, 4.5072, 4.7719 Å; angles 90.00, 90.00, 90.00 degrees
Closest atoms and distances in Å follow each position.
Sites, in units of the cell vectors:
Cr  0.0000  0.5000  0.0000  2 Ta 2.25
P  0.5000  0.5000  0.5000  8 Cu 3.28, 4 Cr 3.37
Cu  0.0000  0.0000  0.5000  2 Ta 2.39
Cu  0.5000  0.0000  0.0000  2 Ta 2.39
Ta  0.0000  0.0000  0.0000  2 Cr 2.25, 4 Cu 2.39

[5]
Compound: PaCrCu4
Source: Alexandria via LeMat-Bulk
Functional: GGA-PBE
Structure: optimized geometry

Properties
Energy of formation   55 meV/atom
Crystal system   cubic
E   -5.86 eV/atom

Cell lengths 5.0280, 5.0280, 5.0280 Å; angles 60.00, 60.00, 60.00 degrees
Closest atoms and distances in Å follow each position.
Sites, in units of the cell vectors:
Cr  0.0000  0.0000  0.0000  12 Cu 2.95, 4 Pa 3.08
Pa  0.2500  0.2500  0.2500  12 Cu 2.95, 4 Cr 3.08
Cu  0.6263  0.6263  0.1211  6 Cu 2.49-2.54
Cu  0.6263  0.1211  0.6263  6 Cu 2.49-2.54
Cu  0.6263  0.6263  0.6263  6 Cu 2.49-2.54
Cu  0.1211  0.6263  0.6263  6 Cu 2.49-2.54

[6]
Compound: Pa2CrCu
Source: Alexandria via LeMat-Bulk
Functional: GGA-PBE
Structure: optimized geometry

Properties
Energy of formation   597 meV/atom
Crystal system   trigonal
E   -7.58 eV/atom

Cell lengths 3.0201, 3.0201, 10.1946 Å; angles 81.48, 81.48, 60.00 degrees
Closest atoms and distances in Å follow each position.
Sites, in units of the cell vectors:
Cr  0.5000  0.5000  0.5000  6 Pa 2.80, 6 Cr 3.02
Pa  0.0938  0.0938  0.7185  3 Cr 2.80, 1 Cu 2.83, 6 Pa 3.02
Pa  0.9062  0.9062  0.2815  3 Cr 2.80, 1 Cu 2.83, 6 Pa 3.02
Cu  0.0000  0.0000  0.0000  2 Pa 2.83, 6 Cu 3.02

[7]
Compound: PaCrCu
Source: Alexandria via LeMat-Bulk
Functional: GGA-PBE
Structure: optimized geometry

Properties
Energy of formation   136 meV/atom
Crystal system   monoclinic
E   -7.60 eV/atom

Cell lengths 4.6129, 5.3868, 4.6670 Å; angles 77.83, 90.03, 64.65 degrees
Closest atoms and distances in Å follow each position.
Sites, in units of the cell vectors:
Cr  0.3101  0.8800  0.6426  2 Pa 2.37-2.44, 3 Cu 2.54-2.57
Cr  0.6899  0.1200  0.3574  2 Pa 2.37-2.44, 3 Cu 2.54-2.57
Cu  0.9290  0.6424  0.7230  3 Cr 2.54-2.57, 2 Cu 2.63-2.76
Cu  0.0710  0.3576  0.2770  3 Cr 2.54-2.57, 2 Cu 2.63-2.76
Pa  0.6283  0.2445  0.8196  2 Cr 2.37-2.44
Pa  0.3717  0.7555  0.1804  2 Cr 2.37-2.44

[8]
Compound: PaCrCuS6
Source: Alexandria via LeMat-Bulk
Functional: GGA-PBE
Structure: optimized geometry

Properties
Energy relative to the elements, uncorrected   -5.1 eV/f.u.
Crystal system   trigonal
E   -5.90 eV/atom

Cell lengths 5.8512, 6.0475, 6.0475 Å; angles 120.00, 90.00, 90.00 degrees
Closest atoms and distances in Å follow each position.
Sites, in units of the cell vectors:
Pa  0.0000  0.3333  0.6667  6 S 2.65
Cr  0.5000  0.6667  0.3333  6 S 2.34
Cu  0.5000  0.0000  0.0000  6 S 2.41
S  0.7259  0.6782  0.6576  1 Cr 2.34, 1 Cu 2.41
S  0.7259  0.3424  0.0206  1 Cr 2.34, 1 Cu 2.41
S  0.7259  0.9794  0.3218  1 Cr 2.34, 1 Cu 2.41
S  0.2741  0.3424  0.3218  1 Cr 2.34, 1 Cu 2.41
S  0.2741  0.6782  0.0206  1 Cr 2.34, 1 Cu 2.41
S  0.2741  0.9794  0.6576  1 Cr 2.34, 1 Cu 2.41

Among the records above, which one has the highest E?
CrCuP2Se6